VASP calculation (PBE with a Hubbard U) on a geometry-optimized NaCoSeO4 structure.

Its total energy is -5.2588 eV/atom.

Cell lengths 5.5914, 5.8009, 7.3286 Å; angles 90.00, 109.43, 90.00 degrees
Closest atoms and distances in Å follow each position.
Element x y z (fractional)
Na 0.6392 0.7500 0.1655  2 O 2.21-2.33
Na 0.3608 0.2500 0.8345  2 O 2.21-2.33
Co 0.7565 0.7500 0.7244  1 O 1.69
Co 0.2435 0.2500 0.2756  1 O 1.69
Se 0.2090 0.7500 0.4489  3 O 1.73-1.75
Se 0.7910 0.2500 0.5511  3 O 1.73-1.75
O 0.9423 0.4723 0.7088  1 Se 1.75, 1 Co 1.94
O 0.0577 0.9723 0.2912  1 Se 1.75, 1 Co 1.94
O 0.0577 0.5277 0.2912  1 Se 1.75, 1 Co 1.94
O 0.9423 0.0277 0.7088  1 Se 1.75, 1 Co 1.94
O 0.5141 0.7500 0.4383  1 Se 1.73
O 0.4859 0.2500 0.5617  1 Se 1.73
O 0.5478 0.7500 0.8473  1 Co 1.69
O 0.4522 0.2500 0.1527  1 Co 1.69